# PBE-GGA NbHW2, relaxed
data_NbHW2
_chemical_formula_sum 'Nb3 H3 W6'
_space_group_name_H-M_alt 'R -3 m'
_space_group_IT_number 166
_space_group_name_Hall '-R 3 2"'
_cell_length_a 2.8607
_cell_length_b 2.8607
_cell_length_c 23.3560
_cell_angle_alpha 90.00
_cell_angle_beta 90.00
_cell_angle_gamma 120.00
loop_
_atom_site_label
_atom_site_type_symbol
_atom_site_fract_x
_atom_site_fract_y
_atom_site_fract_z
Nb1 Nb 0.0000 0.0000 0.0000
H1 H 0.0000 0.0000 0.5000
W1 W 0.0000 0.0000 0.1125
# electronic total energy	-9.1948	eV per atom
# total moment	0.000	μB/cell
# Fermi-level density of states	10.1	states/eV/cell
# polymorph energy (0 for the lowest one)	2.74	kcal/mol of atoms
# theoretical density	13.89	g cm⁻³



# PBE-GGA SrTa3Ni4S12, relaxed
data_SrTa3Ni4S12
_chemical_formula_sum 'Sr3 Ta9 Ni12 S36'
_space_group_name_H-M_alt 'R 3 2'
_space_group_IT_number 155
_space_group_name_Hall 'R 3 2"'
_cell_length_a 12.8621
_cell_length_b 12.8621
_cell_length_c 9.3483
_cell_angle_alpha 90.00
_cell_angle_beta 90.00
_cell_angle_gamma 120.00
loop_
_atom_site_label
_atom_site_type_symbol
_atom_site_fract_x
_atom_site_fract_y
_atom_site_fract_z
Sr1 Sr 0.0000 0.0000 0.0000
Ta1 Ta 0.0000 0.5521 0.0000
Ni1 Ni 0.0000 0.0000 0.5000
Ni2 Ni 0.0000 0.4407 0.5000
S1 S 0.0000 0.6038 0.5000
S2 S 0.0000 0.8350 0.5000
S3 S 0.0515 0.2140 0.1893
# electronic total energy	-6.0730	eV per atom
# total moment	1.647	μB/cell
# Fermi-level density of states	46.9	states/eV/cell
# formation energy from raw total energies	-578	meV/atom
# theoretical density	4.65	g cm⁻³



# PBE-GGA HIrO3, relaxed
data_HIrO3
_chemical_formula_sum 'H4 Ir4 O12'
_space_group_name_H-M_alt 'C 1 2/m 1'
_space_group_IT_number 12
_cell_length_a 14.335
_cell_length_b 2.613
_cell_length_c 6.783
_cell_angle_alpha 90.00
_cell_angle_beta 108.56
_cell_angle_gamma 90.00
loop_
_space_group_symop_operation_xyz
'x,y,z'
'-x,-y,-z'
'-x,y,-z'
'x,-y,z'
'x+1/2,y+1/2,z'
'-x+1/2,-y+1/2,-z'
'-x+1/2,y+1/2,-z'
'x+1/2,-y+1/2,z'
loop_
_atom_site_label
_atom_site_type_symbol
_atom_site_fract_x
_atom_site_fract_y
_atom_site_fract_z
H1 H 0.003 0.000 0.273
Ir1 Ir 0.162 0.500 0.310
O1 O 0.022 0.500 0.277
O2 O 0.161 0.500 0.052
O3 O 0.186 0.000 0.555
# electronic total energy	-5.7850	eV per atom
# total moment	0.000	μB/cell
# Fermi-level density of states	5.7	states/eV/cell
# theoretical density	6.65	g cm⁻³